The following is a DFT calculation (PBE-GGA) of Pr3Dy after structural relaxation.

Calculated values
- theoretical density (g cm⁻³) = 6.955
- formation energy (meV per atom) = 14
- ΔE to the lowest computed polymorph (meV/atom) = 0
- N(E_F) (states/eV/f.u.) = 6.76

Geometry as POSCAR:
```
Pr3Dy
1.0
5.189 0.000 0.000
0.000 5.189 0.000
0.000 0.000 5.189
Pr Dy
3 1
Direct
0.000 0.500 0.500 Pr
0.500 0.000 0.500 Pr
0.500 0.500 0.000 Pr
0.000 0.000 0.000 Dy
```

=====

The following is a DFT calculation (PBE-GGA) of Rb3TmTh2Se6 after structural relaxation.

Calculated values
- theoretical density (g cm⁻³) = 5.959
- uncorrected formation energy (meV per atom) = -1574
- N(E_F) (states/eV/f.u.) = 7.11

Geometry as POSCAR:
```
Rb3TmTh2Se6
1.0
7.356 0.000 0.000
-3.677 6.371 0.000
-1.227 -2.125 8.105
Rb Tm Th Se
3 1 2 6
Direct
0.168 0.832 0.500 Rb
0.832 0.168 0.500 Rb
0.500 0.500 0.500 Rb
0.000 0.000 0.000 Tm
0.334 0.666 0.000 Th
0.666 0.334 0.000 Th
0.933 0.608 0.798 Se
0.743 0.743 0.203 Se
0.067 0.392 0.202 Se
0.608 0.933 0.798 Se
0.257 0.257 0.797 Se
0.392 0.067 0.202 Se
```

=====

The following is a DFT calculation (PBE-GGA) of Mg2AsI after structural relaxation.

Calculated values
- theoretical density (g cm⁻³) = 4.340
- uncorrected formation energy (meV per atom) = -126
- N(E_F) (states/eV/f.u.) = 1.42

Geometry as POSCAR:
```
Mg2AsI
1.0
0.000 3.632 3.632
3.632 0.000 3.632
3.632 3.632 0.000
I As Mg
1 1 2
Direct
0.500 0.500 0.500 I
0.000 0.000 0.000 As
0.250 0.250 0.250 Mg
0.750 0.750 0.750 Mg
```

=====

The following is a DFT calculation (PBE-GGA) of Ho2PtS after structural relaxation.

Calculated values
- theoretical density (g cm⁻³) = 10.124
- uncorrected formation energy (meV per atom) = -1550
- ΔE to the lowest computed polymorph (meV/atom) = 71
- N(E_F) (states/eV/f.u.) = 2.59

Geometry as POSCAR:
```
Ho2PtS
1.0
-2.716 -1.848 -2.093
0.962 -3.131 -2.109
-1.989 -5.756 4.039
S Ho Pt
1 2 1
Direct
0.000 0.000 0.000 S
0.752 0.752 0.745 Ho
0.248 0.248 0.255 Ho
0.500 0.500 0.500 Pt
```